## Ca2YSi (PBE)

Data for an optimized crystal structure of Ca2YSi.

Computed properties:
DOS at the Fermi energy   0.74 states/eV/atom
Energy relative to the elements, uncorrected   -0.057 eV per atom
Calculated volume   115.6 Å³ per cell
Total DFT energy (no corrections)   -4.0298 eV per atom

```
data_Ca2YSi
_chemical_formula_sum 'Ca2 Y1 Si1'
_cell_length_a 3.812
_cell_length_b 4.737
_cell_length_c 6.489
_cell_angle_alpha 90.00
_cell_angle_beta 99.27
_cell_angle_gamma 90.00
_symmetry_space_group_name_H-M 'P 1 2/m 1'
_symmetry_Int_Tables_number 10
loop_
_symmetry_equiv_pos_as_xyz
'x,y,z'
'-x,-y,-z'
'-x,y,-z'
'x,-y,z'
loop_
_atom_site_label
_atom_site_type_symbol
_atom_site_fract_x
_atom_site_fract_y
_atom_site_fract_z
_atom_site_occupancy
Ca1 Ca 0.097 0.000 0.277 1
Y1 Y 0.500 0.500 0.000 1
Si1 Si 0.500 0.500 0.500 1
```